w.
An optimized crystal structure of Er6In5Pb. Source: the Alexandria database, functional PBE.

## Properties
**Size of the total moment**: 0.00 μB per atom
**Space-group type**: C2/m, No. 12

Unit cell a=9.9288 b=6.4016 c=6.2831 alpha=59.37 beta=84.40 gamma=78.96
Element x y z (fractional)
Pb: 0.0000 0.0000 0.0000
In: 0.5000 0.5000 0.0000
In: 0.0000 0.3323 0.3355
In: 0.0000 0.6677 0.6645
In: 0.5000 0.1645 0.6710
In: 0.5000 0.8355 0.3290
Er: 0.7464 0.4228 0.6637
Er: 0.2536 0.9136 0.6637
Er: 0.2510 0.2511 0.0000
Er: 0.2536 0.5772 0.3363
Er: 0.7490 0.7489 0.0000
Er: 0.7464 0.0864 0.3363

x.
An optimized crystal structure of Er6In5Pb. Source: the Alexandria database, functional PBE.

## Properties
**Size of the total moment**: 0.00 μB per atom
**Space-group type**: Cmmm, No. 65

Unit cell a=4.9286 b=8.6330 c=7.7902 alpha=90.00 beta=71.57 gamma=90.00
Element x y z (fractional)
Er: 0.8331 0.2523 0.3337
Er: 0.5000 0.2513 0.0000
Er: 0.5000 0.7487 0.0000
Er: 0.8331 0.7477 0.3337
Er: 0.1669 0.2523 0.6663
Er: 0.1669 0.7477 0.6663
In: 0.3290 0.0000 0.3425
In: 0.3340 0.5000 0.3319
In: 0.6660 0.5000 0.6681
In: 0.0000 0.5000 0.0000
In: 0.6710 0.0000 0.6575
Pb: 0.0000 0.0000 0.0000

The structure with the most favorable energy is x; the runner-up is 0.104 eV/atom above it.

w.
An optimized crystal structure of Er2InPb3. Source: the Alexandria database, functional PBE.

## Properties
**Size of the total moment**: 0.00 μB per atom
**Space-group type**: Cmmm, No. 65

Unit cell a=4.5666 b=4.6624 c=8.0707 alpha=90.00 beta=106.43 gamma=90.00
Element x y z (fractional)
Pb: 0.5000 0.5000 0.0000
Pb: 0.3262 0.0000 0.6524
Pb: 0.6738 0.0000 0.3476
Er: 0.1499 0.5000 0.2999
Er: 0.8501 0.5000 0.7001
In: 0.0000 0.0000 0.0000

x.
An optimized crystal structure of Er2InPb3. Source: the Alexandria database, functional PBE.

## Properties
**Size of the total moment**: 0.00 μB per atom
**Space-group type**: Cmcm, No. 63

Unit cell a=5.1038 b=8.8559 c=8.8559 alpha=109.44 beta=90.00 gamma=90.00
Element x y z (fractional)
Pb: 0.9929 0.8851 0.3569
Pb: 0.9929 0.3569 0.8851
Pb: 0.4929 0.1149 0.6431
Pb: 0.4928 0.8922 0.8922
Pb: 0.4929 0.6431 0.1149
Pb: 0.9928 0.1078 0.1078
In: 0.4931 0.3333 0.3333
In: 0.9931 0.6667 0.6667
Er: 0.4931 0.4973 0.7443
Er: 0.9931 0.5027 0.2557
Er: 0.9931 0.2557 0.5027
Er: 0.4931 0.7443 0.4973

The structure with the most favorable energy is w; the runner-up is 0.184 eV/atom above it.

w.
An optimized crystal structure of PmErInPb. Source: the Alexandria database, functional PBE.

## Properties
**Size of the total moment**: 0.00 μB per atom
**Space-group type**: F-43m, No. 216

Unit cell a=5.4317 b=5.4317 c=5.4317 alpha=60.00 beta=60.00 gamma=60.00
Element x y z (fractional)
Er: 0.5000 0.5000 0.5000
Pb: 0.7500 0.7500 0.7500
Pm: 0.0000 0.0000 0.0000
In: 0.2500 0.2500 0.2500

x.
An optimized crystal structure of PmErInPb. Source: the Alexandria database, functional PBE.

## Properties
**Size of the total moment**: 0.00 μB per atom
**Space-group type**: I-4m2, No. 119

Unit cell a=5.0017 b=5.0016 c=5.7001 alpha=116.03 beta=116.02 gamma=90.00
Element x y z (fractional)
Er: 0.0000 0.0001 0.0000
In: 0.2500 0.7500 0.5000
Pb: 0.7500 0.2500 0.5000
Pm: 0.5000 0.4999 0.0000

The structure with the most favorable energy is x; the runner-up is 0.045 eV/atom above it.

w.
An optimized crystal structure of ErInPd4. Source: the Alexandria database, functional PBE.

## Properties
**Size of the total moment**: 0.00 μB per atom
**Space-group type**: F-43m, No. 216

Unit cell a=5.3684 b=5.3684 c=5.3684 alpha=60.00 beta=60.00 gamma=60.00
Element x y z (fractional)
Pd: 0.6247 0.6247 0.6247
Pd: 0.1260 0.6247 0.6247
Pd: 0.6247 0.1260 0.6247
Pd: 0.6247 0.6247 0.1260
In: 0.2500 0.2500 0.2500
Er: 0.0000 0.0000 0.0000

x.
An optimized crystal structure of ErInPd4. Source: the Alexandria database, functional PBE.

## Properties
**Size of the total moment**: 0.00 μB per atom
**Space-group type**: C2/m, No. 12

Unit cell a=3.8559 b=5.1392 c=6.6033 alpha=103.97 beta=73.02 gamma=67.97
Element x y z (fractional)
Pd: 0.3419 0.9912 0.3250
Pd: 0.1712 0.4927 0.1649
Pd: 0.8288 0.5073 0.8351
Pd: 0.6581 0.0088 0.6750
Er: 0.5000 0.5000 0.5000
In: 0.0000 0.0000 0.0000

The structure with the most favorable energy is x; the runner-up is 0.016 eV/atom above it.

w.
An optimized crystal structure of ErInPd6. Source: the Alexandria database, functional PBE.

## Properties
**Size of the total moment**: 0.00 μB per atom
**Space-group type**: C2/m, No. 12

Unit cell a=4.9307 b=4.9307 c=7.2898 alpha=74.88 beta=74.88 gamma=66.62
Element x y z (fractional)
Er: 0.5000 0.5000 0.5000
Pd: 0.3594 0.3594 0.9350
Pd: 0.4599 0.9421 0.7012
Pd: 0.5401 0.0579 0.2988
Pd: 0.6406 0.6406 0.0650
Pd: 0.9421 0.4599 0.7012
Pd: 0.0579 0.5401 0.2988
In: 0.0000 0.0000 0.0000

x.
An optimized crystal structure of ErInPd6. Source: the Alexandria database, functional PBE.

## Properties
**Size of the total moment**: 0.00 μB per atom
**Space-group type**: P4/mmm, No. 123

Unit cell a=4.0690 b=4.0690 c=8.1599 alpha=90.00 beta=90.00 gamma=90.00
Element x y z (fractional)
Pd: 0.5000 0.0000 0.7544
Pd: 0.5000 0.0000 0.2456
Pd: 0.5000 0.5000 0.5000
Pd: 0.0000 0.5000 0.2456
Pd: 0.5000 0.5000 0.0000
Pd: 0.0000 0.5000 0.7544
Er: 0.0000 0.0000 0.5000
In: 0.0000 0.0000 0.0000

The structure with the most favorable energy is x; the runner-up is 0.313 eV/atom above it.

w.
An optimized crystal structure of ErScInPd. Source: the Alexandria database, functional PBE.

## Properties
**Size of the total moment**: 0.00 μB per atom
**Space-group type**: F-43m, No. 216

Unit cell a=4.9975 b=4.9975 c=4.9975 alpha=60.00 beta=60.00 gamma=60.00
Element x y z (fractional)
In: 0.2500 0.2500 0.2500
Er: 0.5000 0.5000 0.5000
Sc: 0.0000 0.0000 0.0000
Pd: 0.7500 0.7500 0.7500

x.
An optimized crystal structure of ErScInPd. Source: the Alexandria database, functional PBE.

## Properties
**Size of the total moment**: 0.00 μB per atom
**Space-group type**: P4mm, No. 99

Unit cell a=3.4060 b=3.4060 c=7.5546 alpha=90.00 beta=90.00 gamma=90.00
Element x y z (fractional)
Pd: 0.5000 0.5000 0.5865
In: 0.5000 0.5000 0.1238
Er: 0.0000 0.0000 0.8314
Sc: 0.0000 0.0000 0.3862

The structure with the most favorable energy is x; the runner-up is 0.080 eV/atom above it.

w.
An optimized crystal structure of PmEr4In. Source: the Alexandria database, functional PBE.

## Properties
**Size of the total moment**: 0.00 μB per atom
**Space-group type**: C2/c, No. 15

Unit cell a=6.0009 b=6.0009 c=11.7506 alpha=104.16 beta=104.16 gamma=60.42
Element x y z (fractional)
In: 0.5000 0.0000 0.5000
In: 0.0000 0.5000 0.0000
Er: 0.3348 0.8291 0.9998
Er: 0.2575 0.3950 0.7482
Er: 0.3950 0.2575 0.2482
Er: 0.7425 0.6050 0.2518
Er: 0.1709 0.6652 0.5002
Er: 0.6050 0.7425 0.7518
Er: 0.8291 0.3348 0.4998
Er: 0.6652 0.1709 0.0002
Pm: 0.0922 0.9078 0.2500
Pm: 0.9078 0.0922 0.7500

x.
An optimized crystal structure of PmEr4In. Source: the Alexandria database, functional PBE.

## Properties
**Size of the total moment**: 0.00 μB per atom
**Space-group type**: P4/mmm, No. 123

Unit cell a=3.5589 b=3.5589 c=14.1751 alpha=90.00 beta=90.00 gamma=90.00
Element x y z (fractional)
Pm: 0.0000 0.0000 0.0000
Er: 0.5000 0.5000 0.8207
Er: 0.5000 0.5000 0.1793
Er: 0.0000 0.0000 0.6469
Er: 0.0000 0.0000 0.3531
In: 0.5000 0.5000 0.5000

The structure with the most favorable energy is x; the runner-up is 0.040 eV/atom above it.

w.
An optimized crystal structure of Pm5ErIn2. Source: the Alexandria database, functional PBE.

## Properties
**Size of the total moment**: 0.00 μB per atom
**Space-group type**: Pbam, No. 55

Unit cell a=4.9228 b=6.9841 c=13.9697 alpha=90.00 beta=90.00 gamma=90.00
Element x y z (fractional)
Pm: 0.0000 0.0000 0.0000
Pm: 0.0000 0.0007 0.2524
Pm: 0.0000 0.9993 0.7476
Pm: 0.0000 0.5007 0.2476
Pm: 0.0000 0.5000 0.5000
Pm: 0.5000 0.7495 0.6240
Pm: 0.5000 0.2495 0.8760
Pm: 0.5000 0.2505 0.3760
Pm: 0.5000 0.7505 0.1240
Pm: 0.0000 0.4993 0.7524
Er: 0.0000 0.0000 0.5000
Er: 0.0000 0.5000 0.0000
In: 0.5000 0.2539 0.1231
In: 0.5000 0.7539 0.3769
In: 0.5000 0.7461 0.8769
In: 0.5000 0.2461 0.6231

x.
An optimized crystal structure of Pm5ErIn2. Source: the Alexandria database, functional PBE.

## Properties
**Size of the total moment**: 0.00 μB per atom
**Space-group type**: Immm, No. 71

Unit cell a=3.6360 b=8.5150 c=8.5150 alpha=80.35 beta=77.67 gamma=77.67
Element x y z (fractional)
In: 0.7249 0.7751 0.7751
In: 0.2751 0.2249 0.2249
Pm: 0.0000 0.5000 0.5000
Pm: 0.3619 0.8593 0.4170
Pm: 0.6381 0.5830 0.1407
Pm: 0.3619 0.4170 0.8593
Pm: 0.6381 0.1407 0.5830
Er: 0.0000 0.0000 0.0000

The structure with the most favorable energy is w; the runner-up is 0.120 eV/atom above it.

w.
An optimized crystal structure of Pm4Er5In. Source: the Alexandria database, functional PBE.

## Properties
**Size of the total moment**: 0.00 μB per atom
**Space-group type**: I4mm, No. 107

Unit cell a=5.7891 b=8.0897 c=8.0897 alpha=82.64 beta=69.03 gamma=69.03
Element x y z (fractional)
Pm: 0.4575 0.3118 0.6883
Pm: 0.7693 0.6883 0.6882
Pm: 0.1458 0.3117 0.3118
Pm: 0.4576 0.6882 0.3117
Er: 0.7723 0.0001 0.3687
Er: 0.1410 0.6313 0.0001
Er: 0.1411 0.9999 0.6313
Er: 0.6689 0.0000 0.0000
Er: 0.7724 0.3687 0.9999
In: 0.1845 0.0000 0.0000

x.
An optimized crystal structure of Pm4Er5In. Source: the Alexandria database, functional PBE.

## Properties
**Size of the total moment**: 0.00 μB per atom
**Space-group type**: P4/mmm, No. 123

Unit cell a=3.5851 b=3.5872 c=24.3207 alpha=90.00 beta=90.00 gamma=90.00
Element x y z (fractional)
Pm: 0.0000 0.0000 0.8120
Pm: 0.0000 0.0000 0.6034
Pm: 0.0000 0.0000 0.3966
Pm: 0.0000 0.0000 0.1880
Er: 0.5000 0.5000 0.7066
Er: 0.5000 0.5000 0.2934
Er: 0.5000 0.5000 0.9154
Er: 0.5000 0.5000 0.5000
Er: 0.5000 0.5000 0.0846
In: 0.0000 0.0000 0.0000

The structure with the most favorable energy is x; the runner-up is 0.164 eV/atom above it.

w.
An optimized crystal structure of PmErIn. Source: the Alexandria database, functional PBE.

## Properties
**Size of the total moment**: 0.00 μB per atom
**Space-group type**: I4/mmm, No. 139

Unit cell a=4.6288 b=4.6288 c=9.0850 alpha=104.76 beta=104.76 gamma=90.00
Element x y z (fractional)
In: 0.3609 0.3609 0.7218
In: 0.6391 0.6391 0.2782
Pm: 0.5000 0.0000 0.0000
Pm: 0.0000 0.5000 0.0000
Er: 0.8221 0.8221 0.6441
Er: 0.1779 0.1779 0.3559

x.
An optimized crystal structure of PmErIn. Source: the Alexandria database, functional PBE.

## Properties
**Size of the total moment**: 0.00 μB per atom
**Space-group type**: I4mm, No. 107

Unit cell a=3.5792 b=3.5792 c=7.3495 alpha=104.09 beta=104.09 gamma=90.00
Element x y z (fractional)
In: 0.6208 0.6208 0.2417
Pm: 0.9598 0.9598 0.9195
Er: 0.2694 0.2694 0.5388

y.
An optimized crystal structure of PmErIn. Source: the Alexandria database, functional PBE.

## Properties
**Size of the total moment**: 0.00 μB per atom
**Space-group type**: P6_3/mmc, No. 194

Unit cell a=5.4426 b=5.4426 c=6.7670 alpha=90.00 beta=90.00 gamma=120.01
Element x y z (fractional)
In: 0.3334 0.1666 0.2500
In: 0.6666 0.8334 0.7500
Pm: 0.0000 0.5000 0.0000
Pm: 0.0000 0.5000 0.5000
Er: 0.3333 0.1667 0.7500
Er: 0.6667 0.8333 0.2500

z.
An optimized crystal structure of PmErIn. Source: the Alexandria database, functional PBE.

## Properties
**Size of the total moment**: 0.00 μB per atom
**Space-group type**: F-43m, No. 216

Unit cell a=5.2297 b=5.2297 c=5.2297 alpha=60.00 beta=60.00 gamma=60.00
Element x y z (fractional)
Pm: 0.5000 0.5000 0.5000
In: 0.2500 0.2500 0.2500
Er: 0.0000 0.0000 0.0000

The structure with the most favorable energy is y; the runner-up is 0.044 eV/atom above it.

w.
An optimized crystal structure of Pm6Er2In. Source: the Alexandria database, functional PBE.

## Properties
**Size of the total moment**: 0.00 μB per atom
**Space-group type**: C2/m, No. 12

Unit cell a=3.4397 b=9.7713 c=11.9589 alpha=114.11 beta=125.02 gamma=90.00
Element x y z (fractional)
Pm: 0.1570 0.3274 0.3272
Pm: 0.8430 0.6726 0.6728
Pm: 0.5000 0.3243 0.0000
Pm: 0.5000 0.6757 0.0000
Pm: 0.8430 0.0002 0.6728
Pm: 0.1570 0.9998 0.3272
Er: 0.3339 0.3335 0.6670
Er: 0.6661 0.6665 0.3330
In: 0.0000 0.0000 0.0000

x.
An optimized crystal structure of Pm6Er2In. Source: the Alexandria database, functional PBE.

## Properties
**Size of the total moment**: 0.00 μB per atom
**Space-group type**: C2/c, No. 15

Unit cell a=6.2742 b=11.4063 c=11.4063 alpha=47.89 beta=106.01 gamma=106.01
Element x y z (fractional)
Er: 0.0709 0.6717 0.8278
Er: 0.5709 0.8278 0.6717
Er: 0.4291 0.1722 0.3283
Er: 0.9291 0.3283 0.1722
Pm: 0.9187 0.9193 0.4185
Pm: 0.0644 0.8484 0.9935
Pm: 0.2196 0.6504 0.5072
Pm: 0.7196 0.5072 0.6504
Pm: 0.4187 0.4185 0.9193
Pm: 0.9356 0.1516 0.0065
Pm: 0.0813 0.0807 0.5815
Pm: 0.5644 0.9935 0.8484
Pm: 0.7804 0.3496 0.4928
Pm: 0.2804 0.4928 0.3496
Pm: 0.4356 0.0065 0.1516
Pm: 0.5813 0.5815 0.0807
In: 0.7500 0.7511 0.2489
In: 0.2500 0.2489 0.7511

The structure with the most favorable energy is x; the runner-up is 0.029 eV/atom above it.